First-principles (PBE) data for a geometry-optimized GaFeReNi structure, as listed in the Open Quantum Materials Database.

Values from the calculation:
Distance to the lowest polymorph of the same formula, eV per atom: 0.091
Total magnetization, μB/cell: 1.1
Space-group type: F-43m

a b c (Å): 4.166 4.166 4.166
angles (deg): 60.00 60.00 60.00
Element x y z (fractional)
Re 0.250 0.250 0.250
Ni 0.500 0.500 0.500
Ga 0.000 0.000 0.000
Fe 0.750 0.750 0.750